Zn6CoAg | PBE | optimized geometry

a b c (Å): 4.306 5.390 4.837
angles (deg): 90.00 90.00 90.00
Last column: magnetic moment on the atom in μB.
Sites, in units of the cell vectors:
Ag 0.000 0.500 0.333  0.00
Co 0.500 0.000 0.658  0.24
Zn 0.500 0.233 0.154  0.00
Zn 0.500 0.767 0.154  0.00
Zn 0.000 0.000 0.363  0.00
Zn 0.500 0.500 0.674  0.00
Zn 0.000 0.240 0.832  0.00
Zn 0.000 0.760 0.832  0.00

Calculated values
Space-group type: Pmm2 (25)
DFT formation energy in eV/atom: -0.02
Polymorph energy (0 for the lowest one) in eV/atom: 0.000



ZnCo2Ag | PBE | optimized geometry

a b c (Å): 4.297 5.387 5.387
angles (deg): 59.70 90.00 90.00
Last column: magnetic moment on the atom in μB.
Sites, in units of the cell vectors:
Ag 0.500 0.670 0.163  -0.02
Ag 0.500 0.163 0.670  -0.01
Co 0.500 0.163 0.163  1.49
Co 0.000 0.869 0.329  1.63
Co 0.000 0.806 0.806  1.50
Co 0.000 0.329 0.869  1.55
Zn 0.000 0.337 0.337  -0.05
Zn 0.500 0.662 0.662  -0.05

Calculated values
Space-group type: Amm2 (38)
DFT formation energy in eV/atom: 0.22



Zn2CoAg5 | PBE | optimized geometry

a b c (Å): 4.627 5.705 5.705
angles (deg): 59.71 90.00 90.00
Last column: magnetic moment on the atom in μB.
Sites, in units of the cell vectors:
Ag 0.500 0.667 0.158  -0.01
Ag 0.500 0.168 0.168  0.01
Ag 0.000 0.830 0.338  -0.01
Ag 0.500 0.158 0.667  0.00
Ag 0.000 0.338 0.830  -0.01
Co 0.000 0.829 0.829  1.44
Zn 0.000 0.334 0.334  -0.02
Zn 0.500 0.674 0.674  -0.01

Calculated values
Space-group type: Amm2 (38)
DFT formation energy in eV/atom: 0.11



Zn2Co5Ag | PBE | optimized geometry

a b c (Å): 4.198 5.255 5.255
angles (deg): 58.75 90.00 90.00
Last column: magnetic moment on the atom in μB.
Sites, in units of the cell vectors:
Ag 0.000 0.169 0.169  0.01
Co 0.000 0.672 0.177  1.50
Co 0.500 0.802 0.336  1.66
Co 0.000 0.177 0.672  1.56
Co 0.500 0.336 0.802  1.46
Co 0.500 0.839 0.839  1.58
Zn 0.500 0.330 0.330  -0.05
Zn 0.000 0.675 0.675  -0.05

Calculated values
Space-group type: Amm2 (38)
DFT formation energy in eV/atom: 0.17



Zn2CoAg | PBE | optimized geometry

a b c (Å): 4.282 4.282 4.282
angles (deg): 60.00 60.00 60.00
Sites, in units of the cell vectors:
Ag 0.250 0.250 0.250
Co 0.750 0.750 0.750
Zn 0.000 0.000 0.000
Zn 0.500 0.500 0.500

Calculated values
Space-group type: Fm-3m (225)
DFT formation energy in eV/atom: 0.07
Polymorph energy (0 for the lowest one) in eV/atom: 0.000



Cs11Ag3 | PBE | optimized geometry

a b c (Å): 11.708 11.708 9.155
angles (deg): 112.58 112.58 64.04
Sites, in units of the cell vectors:
Ag 0.930 0.930 0.181
Ag 0.654 0.654 0.394
Ag 0.377 0.377 0.631
Cs 0.701 0.346 0.017
Cs 0.346 0.701 0.017
Cs 0.296 0.296 0.022
Cs 0.965 0.608 0.285
Cs 0.608 0.965 0.285
Cs 0.154 0.154 0.390
Cs 0.696 0.345 0.502
Cs 0.345 0.696 0.502
Cs 0.012 0.012 0.742
Cs 0.961 0.610 0.772
Cs 0.610 0.961 0.772

Calculated values
Space-group type: Cm (8)



CsAg | PBE | optimized geometry

a b c (Å): 5.855 5.855 5.855
angles (deg): 60.00 60.00 60.00
Sites, in units of the cell vectors:
Ag 0.000 0.000 0.000
Cs 0.250 0.250 0.250

Calculated values
Space-group type: F-43m (216)



CsAg | PBE | optimized geometry

a b c (Å): 5.845 5.845 9.477
angles (deg): 90.00 90.00 120.00
Sites, in units of the cell vectors:
Ag 0.333 0.667 0.500
Ag 0.000 0.000 0.000
Cs 0.000 0.000 0.375
Cs 0.333 0.667 0.875

Calculated values
Space-group type: P6_3mc (186)



CsAg8 | PBE | optimized geometry

a b c (Å): 9.392 3.143 9.394
angles (deg): 90.00 119.96 90.00
Sites, in units of the cell vectors:
Ag 0.826 0.000 0.174
Ag 0.347 0.000 0.174
Ag 0.667 0.000 0.333
Ag 0.174 0.000 0.347
Ag 0.826 0.000 0.653
Ag 0.333 0.000 0.667
Ag 0.653 0.000 0.826
Ag 0.174 0.000 0.826
Cs 0.000 0.500 0.000

Calculated values
Space-group type: Cmmm (65)



CsAg | PBE | optimized geometry

a b c (Å): 4.811 4.810 4.908
angles (deg): 90.00 90.00 120.00
Sites, in units of the cell vectors:
Ag 0.667 0.333 0.750
Cs 0.333 0.667 0.250

Calculated values
Space-group type: P-6m2 (187)



CsAg | PBE | optimized geometry

a b c (Å): 5.357 5.357 5.357
angles (deg): 60.00 60.00 60.00
Sites, in units of the cell vectors:
Ag 0.000 0.000 0.000
Cs 0.500 0.500 0.500

Calculated values
Space-group type: Fm-3m (225)



CsCuAg | PBE | optimized geometry

a b c (Å): 5.338 5.338 5.338
angles (deg): 60.00 60.00 60.00
Sites, in units of the cell vectors:
Ag 0.000 0.000 0.000
Cs 0.250 0.250 0.250
Cu 0.750 0.750 0.750

Calculated values
Space-group type: F-43m (216)
Polymorph energy (0 for the lowest one) in eV/atom: 0.056



CsCuAg | PBE | optimized geometry

a b c (Å): 5.309 5.309 5.309
angles (deg): 60.00 60.00 60.00
Sites, in units of the cell vectors:
Ag 0.250 0.250 0.250
Cs 0.750 0.750 0.750
Cu 0.000 0.000 0.000

Calculated values
Space-group type: F-43m (216)
Polymorph energy (0 for the lowest one) in eV/atom: 0.000



Cs2CuAgF6 | PBE | optimized geometry

a b c (Å): 6.086 6.086 6.086
angles (deg): 120.95 120.95 88.37
Sites, in units of the cell vectors:
Ag 0.500 0.500 0.000
Cs 0.750 0.250 0.500
Cs 0.250 0.750 0.500
Cu 0.000 0.000 0.000
F 0.772 0.228 0.000
F 0.247 0.247 0.000
F 0.753 0.753 0.000
F 0.228 0.772 0.000
F 0.228 0.228 0.456
F 0.772 0.772 0.544

Calculated values
Space-group type: I4/mmm (139)



Cs2CuAgH6 | PBE | optimized geometry

a b c (Å): 6.288 6.288 6.288
angles (deg): 121.13 121.13 88.05
Sites, in units of the cell vectors:
Ag 0.500 0.500 0.000
Cs 0.750 0.250 0.500
Cs 0.250 0.750 0.500
Cu 0.000 0.000 0.000
H 0.825 0.175 0.000
H 0.311 0.311 0.000
H 0.689 0.689 0.000
H 0.175 0.825 0.000
H 0.175 0.175 0.350
H 0.825 0.825 0.650

Calculated values
Space-group type: I4/mmm (139)



CsCu2AgS2 | PBE | optimized geometry

a b c (Å): 5.781 5.781 5.924
angles (deg): 92.24 92.24 58.30
Sites, in units of the cell vectors:
Ag 0.500 0.500 0.000
Cs 0.000 0.000 0.500
Cu 0.500 0.000 0.000
Cu 0.000 0.500 0.000
S 0.321 0.321 0.256
S 0.679 0.679 0.744

Calculated values
Space-group type: C2/m (12)



CsCu2AgSe2 | PBE | optimized geometry

a b c (Å): 5.581 5.581 7.099
angles (deg): 91.81 91.81 57.96
Sites, in units of the cell vectors:
Ag 0.500 0.500 0.000
Cs 0.000 0.000 0.500
Cu 0.500 0.000 0.000
Cu 0.000 0.500 0.000
Se 0.318 0.318 0.249
Se 0.682 0.682 0.751

Calculated values
Space-group type: C2/m (12)



CsCuAg2Se2 | PBE | optimized geometry

a b c (Å): 5.684 5.684 7.035
angles (deg): 91.63 91.63 62.78
Sites, in units of the cell vectors:
Ag 0.500 0.000 0.000
Ag 0.000 0.500 0.000
Cs 0.000 0.000 0.500
Cu 0.500 0.500 0.000
Se 0.652 0.652 0.256
Se 0.348 0.348 0.744

Calculated values
Space-group type: C2/m (12)



CsDy2AgO4 | PBE | optimized geometry

a b c (Å): 3.495 3.495 12.255
angles (deg): 90.00 90.00 120.00
Sites, in units of the cell vectors:
Ag 0.333 0.667 0.000
Cs 0.000 0.000 0.500
Dy 0.667 0.333 0.222
Dy 0.667 0.333 0.778
O 0.000 0.000 0.134
O 0.333 0.667 0.316
O 0.333 0.667 0.684
O 0.000 0.000 0.866

Calculated values
Space-group type: P-6m2 (187)



CsDy2Ag3Te5 | PBE | optimized geometry

a b c (Å): 8.514 8.514 18.562
angles (deg): 90.00 90.00 148.98
Sites, in units of the cell vectors:
Ag 0.084 0.916 0.035
Ag 0.841 0.159 0.250
Ag 0.084 0.916 0.465
Ag 0.916 0.084 0.535
Ag 0.159 0.841 0.750
Ag 0.916 0.084 0.965
Cs 0.558 0.442 0.250
Cs 0.442 0.558 0.750
Dy 0.308 0.692 0.094
Dy 0.308 0.692 0.406
Dy 0.692 0.308 0.594
Dy 0.692 0.308 0.906
Te 0.678 0.322 0.072
Te 0.935 0.065 0.118
Te 0.244 0.756 0.250
Te 0.935 0.065 0.382
Te 0.678 0.322 0.428
Te 0.322 0.678 0.572
Te 0.065 0.935 0.618
Te 0.756 0.244 0.750
Te 0.065 0.935 0.882
Te 0.322 0.678 0.928

Calculated values
Space-group type: Cmcm (63)



CsDyAgTe3 | PBE | optimized geometry

a b c (Å): 9.104 9.104 11.404
angles (deg): 90.00 90.00 152.56
Sites, in units of the cell vectors:
Ag 0.465 0.535 0.250
Ag 0.535 0.465 0.750
Cs 0.751 0.249 0.250
Cs 0.249 0.751 0.750
Dy 0.000 0.000 0.000
Dy 0.000 0.000 0.500
Te 0.379 0.621 0.046
Te 0.069 0.931 0.250
Te 0.379 0.621 0.454
Te 0.621 0.379 0.546
Te 0.931 0.069 0.750
Te 0.621 0.379 0.954

Calculated values
Space-group type: Cmcm (63)



CsEr2AgO4 | PBE | optimized geometry

a b c (Å): 3.477 3.477 13.650
angles (deg): 90.00 90.00 120.00
Sites, in units of the cell vectors:
Ag 0.000 0.000 0.000
Cs 0.333 0.667 0.500
Er 0.667 0.333 0.226
Er 0.667 0.333 0.774
O 0.000 0.000 0.151
O 0.333 0.667 0.306
O 0.333 0.667 0.694
O 0.000 0.000 0.849

Calculated values
Space-group type: P-6m2 (187)



CsEr2Ag3Te5 | PBE | optimized geometry

a b c (Å): 8.533 8.533 18.494
angles (deg): 90.00 90.00 149.18
Sites, in units of the cell vectors:
Ag 0.082 0.918 0.037
Ag 0.841 0.159 0.250
Ag 0.082 0.918 0.463
Ag 0.918 0.082 0.537
Ag 0.159 0.841 0.750
Ag 0.918 0.082 0.963
Cs 0.557 0.443 0.250
Cs 0.443 0.557 0.750
Er 0.307 0.693 0.094
Er 0.307 0.693 0.406
Er 0.693 0.307 0.594
Er 0.693 0.307 0.906
Te 0.679 0.321 0.071
Te 0.933 0.067 0.118
Te 0.244 0.756 0.250
Te 0.933 0.067 0.382
Te 0.679 0.321 0.429
Te 0.321 0.679 0.571
Te 0.067 0.933 0.618
Te 0.756 0.244 0.750
Te 0.067 0.933 0.882
Te 0.321 0.679 0.929

Calculated values
Space-group type: Cmcm (63)



Cs3AgF6 | PBE | optimized geometry

a b c (Å): 6.747 6.737 11.510
angles (deg): 90.00 124.87 90.00
Sites, in units of the cell vectors:
Ag 0.000 0.500 0.000
Ag 0.000 0.000 0.500
Cs 0.500 0.000 0.000
Cs 0.241 0.966 0.248
Cs 0.759 0.466 0.252
Cs 0.500 0.500 0.500
Cs 0.241 0.534 0.748
Cs 0.759 0.034 0.752
F 0.789 0.685 0.037
F 0.865 0.245 0.046
F 0.288 0.520 0.213
F 0.712 0.020 0.287
F 0.135 0.745 0.454
F 0.211 0.185 0.463
F 0.789 0.815 0.537
F 0.865 0.255 0.546
F 0.288 0.980 0.713
F 0.712 0.480 0.787
F 0.135 0.755 0.954
F 0.211 0.315 0.963

Calculated values
Space-group type: P2_1/c (14)



no.,DFT total energy (eV per cell)
1,-17.72
2,-34.82
3,-22.91
4,-39.55
5,-12.16
6,-16.75
7,-3.31
8,-6.62
9,-16.87
10,-3.42
11,-3.50
12,-5.39
13,-5.56
14,-38.98
15,-28.59
16,-22.47
17,-20.92
18,-20.08
19,-51.75
20,-88.06
21,-46.59
22,-51.62
23,-87.56
24,-74.72